No. 1
The following is a PBE-GGA calculation of an optimized crystal structure of TaMnFe2P, from Alexandria via LeMat-Bulk.

a b c (Å): 4.0469 4.0469 4.0994
angles (deg): 90.00 90.00 90.00
Positions (direct):
Ta1 0.0000 0.0000 0.0000
Mn1 0.5000 0.5000 0.0000
Fe1 0.0000 0.5000 0.5000
Fe2 0.5000 0.0000 0.5000
P1 0.5000 0.5000 0.5000

* DFT total energy: -8.454 eV per atom

---

No. 2
The following is a PBE-GGA calculation of an optimized crystal structure of TaMnFeP2, from Alexandria via LeMat-Bulk.

a b c (Å): 4.7254 4.7254 4.4569
angles (deg): 90.00 90.00 90.00
Positions (direct):
Ta1 0.0000 0.0000 0.0000
Mn1 0.5000 0.5000 0.5000
Fe1 0.0000 0.0000 0.5000
P1 0.0000 0.5000 0.0000
P2 0.5000 0.0000 0.0000

* DFT total energy: -6.532 eV per atom

---

| no. | DFT formation energy (meV per atom) |
| --- | --- |
| 1 | 217 |
| 2 | 1529 |